# PBE Sr2CaZr, relaxed
data_Sr2CaZr
_chemical_formula_sum 'Sr2 Ca1 Zr1'
_symmetry_space_group_name_H-M 'P 1'
_symmetry_Int_Tables_number 1
_symmetry_space_group_name_Hall 'P 1'
_cell_length_a 6.029
_cell_length_b 6.029
_cell_length_c 6.029
_cell_angle_alpha 60.00
_cell_angle_beta 60.00
_cell_angle_gamma 60.00
loop_
_atom_site_label
_atom_site_type_symbol
_atom_site_fract_x
_atom_site_fract_y
_atom_site_fract_z
Zr1 Zr 0.500 0.500 0.500
Sr1 Sr 0.250 0.250 0.250
Sr2 Sr 0.750 0.750 0.750
Ca1 Ca 0.000 0.000 0.000
# M_tot (μB per formula unit): 0.17
# SG: Fm-3m
# Density of states at the Fermi level (states/eV/f.u.): 4.78
# Uncorrected energy (eV per atom): -2.98
# Calculated formation energy (meV per atom): 502